Entry 1:
Entry from Alexandria via LeMat-Bulk: a geometry-optimized ErPuSb2 structure (PBE).

Formation energy (no corrections), kcal/mol of atoms: -16.99
Excess energy over the best structure of this formula in the dataset, eV/f.u.: 0.431

CIF file:
```
data_ErPuSb2
_space_group_name_H-M_alt 'R 3 m'
_space_group_IT_number 160
_space_group_name_Hall 'R 3 -2"'
_cell_length_a 4.3898
_cell_length_b 4.3898
_cell_length_c 21.9629
_cell_angle_alpha 90.00
_cell_angle_beta 90.00
_cell_angle_gamma 120.00
loop_
_atom_site_label
_atom_site_type_symbol
_atom_site_fract_x
_atom_site_fract_y
_atom_site_fract_z
Er1 Er 0.0000 0.0000 0.0000
Pu1 Pu 0.0000 0.0000 0.1709
Sb1 Sb 0.0000 0.0000 0.5849
Sb2 Sb 0.0000 0.0000 0.7525
```


Entry 2:
Entry from Alexandria via LeMat-Bulk: a geometry-optimized SrHoCu10 structure (PBE).

Formation energy from the elements, meV/atom: -130

CIF file:
```
data_SrHoCu10
_space_group_name_H-M_alt 'P m m m'
_space_group_IT_number 47
_space_group_name_Hall '-P 2 2'
_cell_length_a 4.036
_cell_length_b 5.194
_cell_length_c 8.895
_cell_angle_alpha 90.00
_cell_angle_beta 90.00
_cell_angle_gamma 90.00
loop_
_atom_site_label
_atom_site_type_symbol
_atom_site_fract_x
_atom_site_fract_y
_atom_site_fract_z
Sr1 Sr 0.000 0.000 0.000
Ho1 Ho 0.000 0.500 0.500
Cu1 Cu 0.000 0.000 0.341
Cu2 Cu 0.000 0.500 0.176
Cu3 Cu 0.500 0.000 0.500
Cu4 Cu 0.500 0.257 0.261
Cu5 Cu 0.500 0.500 0.000
```


Entry 3:
Entry from Alexandria via LeMat-Bulk: a geometry-optimized AlH2Rh2 structure (PBE).

Excess energy over the best structure of this formula in the dataset, eV/f.u.: 0.000

CIF file:
```
data_AlH2Rh2
_space_group_name_H-M_alt 'I 4/m m m'
_space_group_IT_number 139
_space_group_name_Hall '-I 4 2'
_cell_length_a 2.978
_cell_length_b 2.978
_cell_length_c 10.740
_cell_angle_alpha 90.00
_cell_angle_beta 90.00
_cell_angle_gamma 90.00
loop_
_atom_site_label
_atom_site_type_symbol
_atom_site_fract_x
_atom_site_fract_y
_atom_site_fract_z
Al1 Al 0.000 0.000 0.000
H1 H 0.000 0.500 0.250
Rh1 Rh 0.000 0.000 0.360
```


Entry 4:
Entry from Alexandria via LeMat-Bulk: a geometry-optimized Pu2ZnGa4Pt3 structure (PBE).

Formation energy from the elements, meV/atom: -648

CIF file:
```
data_Pu2ZnGa4Pt3
_space_group_name_H-M_alt 'P -4 m 2'
_space_group_IT_number 115
_space_group_name_Hall 'P -4 -2'
_cell_length_a 4.160
_cell_length_b 4.160
_cell_length_c 11.006
_cell_angle_alpha 90.00
_cell_angle_beta 90.00
_cell_angle_gamma 90.00
loop_
_atom_site_label
_atom_site_type_symbol
_atom_site_fract_x
_atom_site_fract_y
_atom_site_fract_z
Pu1 Pu 0.000 0.500 0.247
Zn1 Zn 0.000 0.000 0.500
Ga1 Ga 0.000 0.000 0.000
Ga2 Ga 0.000 0.500 0.635
Ga3 Ga 0.500 0.500 0.000
Pt1 Pt 0.000 0.500 0.862
Pt2 Pt 0.500 0.500 0.500
```


Entry 5:
Entry from Alexandria via LeMat-Bulk: a geometry-optimized Ba2OsW structure (PBE).

Formation energy from the elements, meV/atom: 631
Excess energy over the best structure of this formula in the dataset, eV/f.u.: 0.914

CIF file:
```
data_Ba2OsW
_space_group_name_H-M_alt 'P 4 m m'
_space_group_IT_number 99
_space_group_name_Hall 'P 4 -2'
_cell_length_a 3.387
_cell_length_b 3.387
_cell_length_c 10.238
_cell_angle_alpha 90.00
_cell_angle_beta 90.00
_cell_angle_gamma 90.00
loop_
_atom_site_label
_atom_site_type_symbol
_atom_site_fract_x
_atom_site_fract_y
_atom_site_fract_z
Ba1 Ba 0.000 0.000 0.000
Ba2 Ba 0.500 0.500 0.399
Os1 Os 0.000 0.000 0.644
W1 W 0.500 0.500 0.744
```


Entry 6:
Entry from Alexandria via LeMat-Bulk: a geometry-optimized BiHO2 structure (PBE).

Excess energy over the best structure of this formula in the dataset, eV/f.u.: 3.738

CIF file:
```
data_BiHO2
_space_group_name_H-M_alt 'I -4 2 d'
_space_group_IT_number 122
_space_group_name_Hall 'I -4 2bw'
_cell_length_a 4.588
_cell_length_b 4.588
_cell_length_c 9.568
_cell_angle_alpha 90.00
_cell_angle_beta 90.00
_cell_angle_gamma 90.00
loop_
_atom_site_label
_atom_site_type_symbol
_atom_site_fract_x
_atom_site_fract_y
_atom_site_fract_z
Bi1 Bi 0.000 0.000 0.000
H1 H 0.000 0.000 0.500
O1 O 0.158 0.250 0.625
```


Entry 7:
Entry from Alexandria via LeMat-Bulk: a geometry-optimized CrInAs2Br structure (PBE).

Formation energy (no corrections), kcal/mol of atoms: 3.22
Excess energy over the best structure of this formula in the dataset, eV/f.u.: 0.000

CIF file:
```
data_CrInAs2Br
_space_group_name_H-M_alt 'P 4/m m m'
_space_group_IT_number 123
_space_group_name_Hall '-P 4 2'
_cell_length_a 4.602
_cell_length_b 4.602
_cell_length_c 5.589
_cell_angle_alpha 90.00
_cell_angle_beta 90.00
_cell_angle_gamma 90.00
loop_
_atom_site_label
_atom_site_type_symbol
_atom_site_fract_x
_atom_site_fract_y
_atom_site_fract_z
Cr1 Cr 0.000 0.000 0.000
In1 In 0.500 0.500 0.500
As1 As 0.000 0.500 0.000
Br1 Br 0.000 0.000 0.500
```


Entry 8:
Entry from Alexandria via LeMat-Bulk: a geometry-optimized KScMn2 structure (PBE).

Formation energy from the elements, meV/atom: 1124
Excess energy over the best structure of this formula in the dataset, eV/f.u.: 2.727

CIF file:
```
data_KScMn2
_space_group_name_H-M_alt 'I 41/a m d'
_space_group_IT_number 141
_cell_length_a 5.150
_cell_length_b 5.150
_cell_length_c 18.962
_cell_angle_alpha 90.00
_cell_angle_beta 90.00
_cell_angle_gamma 90.00
loop_
_space_group_symop_operation_xyz
'x,y,z'
'-x,-y,-z'
'-y+1/4,x+3/4,z+1/4'
'y+1/4,-x+3/4,-z+1/4'
'-x+1/2,-y,z+1/2'
'x+1/2,y,-z+1/2'
'y+1/4,-x+1/4,z+3/4'
'-y+1/4,x+1/4,-z+3/4'
'x,-y,-z'
'-x,y,z'
'-y+1/4,-x+1/4,-z+3/4'
'y+1/4,x+1/4,z+3/4'
'-x+1/2,y,-z+1/2'
'x+1/2,-y,z+1/2'
'y+1/4,x+3/4,-z+1/4'
'-y+1/4,-x+3/4,z+1/4'
'x+1/2,y+1/2,z+1/2'
'-x+1/2,-y+1/2,-z+1/2'
'-y+3/4,x+1/4,z+3/4'
'y+3/4,-x+1/4,-z+3/4'
'-x,-y+1/2,z'
'x,y+1/2,-z'
'y+3/4,-x+3/4,z+1/4'
'-y+3/4,x+3/4,-z+1/4'
'x+1/2,-y+1/2,-z+1/2'
'-x+1/2,y+1/2,z+1/2'
'-y+3/4,-x+3/4,-z+1/4'
'y+3/4,x+3/4,z+1/4'
'-x,y+1/2,-z'
'x,-y+1/2,z'
'y+3/4,x+1/4,-z+3/4'
'-y+3/4,-x+1/4,z+3/4'
loop_
_atom_site_label
_atom_site_type_symbol
_atom_site_fract_x
_atom_site_fract_y
_atom_site_fract_z
K1 K 0.000 0.250 0.375
Sc1 Sc 0.000 0.250 0.875
Mn1 Mn 0.000 0.000 0.000
```